1:
Density functional theory data (PBE) for a relaxed structure of PmTmNiRu.

Unit cell a=4.8298 b=4.8298 c=4.8298 alpha=60.00 beta=60.00 gamma=60.00
Fractional positions:
1 Pm 0.0000 0.0000 0.0000
2 Tm 0.5000 0.5000 0.5000
3 Ni 0.7500 0.7500 0.7500
4 Ru 0.2500 0.2500 0.2500

Output
- space group = No. 216
- crystal system = cubic
- N(E_F) (states/eV/cell) = 2.86

***

2:
Density functional theory data (PBE) for a relaxed structure of PmTmNiRu.

Unit cell a=3.4083 b=3.4083 c=6.8535 alpha=90.00 beta=90.00 gamma=90.00
Fractional positions:
1 Pm 0.0000 0.0000 0.0000
2 Tm 0.0000 0.0000 0.4971
3 Ni 0.5000 0.5000 0.7296
4 Ru 0.5000 0.5000 0.2614

Output
- space group = No. 99
- crystal system = tetragonal
- N(E_F) (states/eV/cell) = 2.18

***

It is 2 that is the most stable of them.

***

1:
Density functional theory data (PBE) for a relaxed structure of PmYNiRu.

Unit cell a=4.8725 b=4.8725 c=4.8725 alpha=60.00 beta=60.00 gamma=60.00
Fractional positions:
1 Pm 0.0000 0.0000 0.0000
2 Y 0.5000 0.5000 0.5000
3 Ni 0.2500 0.2500 0.2500
4 Ru 0.7500 0.7500 0.7500

Output
- space group = No. 216
- crystal system = cubic
- N(E_F) (states/eV/cell) = 3.11

***

2:
Density functional theory data (PBE) for a relaxed structure of PmYNiRu.

Unit cell a=3.4355 b=3.4355 c=6.9260 alpha=90.00 beta=90.00 gamma=90.00
Fractional positions:
1 Pm 0.0000 0.0000 0.0000
2 Y 0.0000 0.0000 0.4972
3 Ni 0.5000 0.5000 0.7412
4 Ru 0.5000 0.5000 0.2534

Output
- space group = No. 99
- crystal system = tetragonal
- N(E_F) (states/eV/cell) = 2.42

***

It is 2 that is the most stable of them.

***

1:
Density functional theory data (PBE) for a relaxed structure of Pm2NiSb.

Unit cell a=3.6809 b=3.6809 c=7.3606 alpha=90.00 beta=90.00 gamma=90.00
Fractional positions:
1 Pm 0.0000 0.0000 0.2247
2 Pm 0.0000 0.0000 0.7753
3 Ni 0.5000 0.5000 0.0000
4 Sb 0.5000 0.5000 0.5000

Output
- space group = No. 123
- crystal system = tetragonal
- N(E_F) (states/eV/cell) = 3.10

***

2:
Density functional theory data (PBE) for a relaxed structure of Pm2NiSb.

Unit cell a=5.2205 b=5.2205 c=5.2205 alpha=60.00 beta=60.00 gamma=60.00
Fractional positions:
1 Pm 0.2500 0.2500 0.2500
2 Pm 0.7500 0.7500 0.7500
3 Ni 0.0000 0.0000 0.0000
4 Sb 0.5000 0.5000 0.5000

Output
- space group = No. 225
- crystal system = cubic
- N(E_F) (states/eV/cell) = 4.27

***

It is 1 that is the most stable of them.

***

1:
Density functional theory data (PBE) for a relaxed structure of PmScNi.

Unit cell a=6.4426 b=6.4426 c=6.4426 alpha=150.01 beta=150.01 gamma=42.93
Fractional positions:
1 Pm 0.0000 0.0000 0.0000
2 Sc 0.2685 0.2685 0.0000
3 Ni 0.6611 0.6611 0.0000

Output
- space group = No. 107
- crystal system = tetragonal
- N(E_F) (states/eV/cell) = 3.55

***

2:
Density functional theory data (PBE) for a relaxed structure of PmScNi.

Unit cell a=4.6633 b=4.6633 c=4.6633 alpha=60.00 beta=60.00 gamma=60.00
Fractional positions:
1 Pm 0.0000 0.0000 0.0000
2 Sc 0.5000 0.5000 0.5000
3 Ni 0.7500 0.7500 0.7500

Output
- space group = No. 216
- crystal system = cubic
- N(E_F) (states/eV/cell) = 2.82

***

It is 1 that is the most stable of them.

***

1:
Density functional theory data (PBE) for a relaxed structure of PmScNi.

Unit cell a=7.0609 b=7.0609 c=7.0609 alpha=151.40 beta=124.64 gamma=63.49
Fractional positions:
1 Pm 0.2162 0.2162 0.0000
2 Pm 0.7838 0.7838 0.0000
3 Sc 0.2610 0.5000 0.7610
4 Sc 0.7390 0.5000 0.2390
5 Ni 0.3927 0.8927 0.5000
6 Ni 0.6073 0.1073 0.5000

Output
- space group = No. 71
- crystal system = orthorhombic
- N(E_F) (states/eV/cell) = 6.71

***

2:
Density functional theory data (PBE) for a relaxed structure of PmScNi.

Unit cell a=4.3880 b=4.3880 c=4.0904 alpha=90.00 beta=90.00 gamma=120.00
Fractional positions:
1 Pm 0.0000 0.0000 0.0000
2 Sc 0.6667 0.3333 0.4921
3 Ni 0.3333 0.6667 0.6121

Output
- space group = No. 156
- crystal system = trigonal
- N(E_F) (states/eV/cell) = 2.61

***

It is 1 that is the most stable of them.

***

1:
Density functional theory data (PBE) for a relaxed structure of PmSi2Ni4.

Unit cell a=7.3000 b=7.3000 c=3.6588 alpha=90.00 beta=90.00 gamma=90.00
Fractional positions:
1 Pm 0.0000 0.0000 0.0000
2 Pm 0.5000 0.5000 0.5000
3 Si 0.2227 0.2227 0.5000
4 Si 0.2773 0.7227 0.0000
5 Si 0.7227 0.2773 0.0000
6 Si 0.7773 0.7773 0.5000
7 Ni 0.0850 0.6594 0.5000
8 Ni 0.1594 0.4150 0.0000
9 Ni 0.3406 0.9150 0.5000
10 Ni 0.4150 0.1594 0.0000
11 Ni 0.5850 0.8406 0.0000
12 Ni 0.6594 0.0850 0.5000
13 Ni 0.8406 0.5850 0.0000
14 Ni 0.9150 0.3406 0.5000

Output
- space group = No. 136
- crystal system = tetragonal
- N(E_F) (states/eV/cell) = 12.71

***

2:
Density functional theory data (PBE) for a relaxed structure of PmSi2Ni4.

Unit cell a=16.2907 b=3.9689 c=6.1829 alpha=90.00 beta=90.00 gamma=90.00
Fractional positions:
1 Pm 0.1396 0.2500 0.0021
2 Pm 0.3604 0.7500 0.5021
3 Pm 0.6396 0.2500 0.4979
4 Pm 0.8604 0.7500 0.9979
5 Si 0.0402 0.7500 0.7362
6 Si 0.2134 0.2500 0.4726
7 Si 0.2866 0.7500 0.9726
8 Si 0.4598 0.2500 0.2362
9 Si 0.5402 0.7500 0.7638
10 Si 0.7134 0.2500 0.0274
11 Si 0.7866 0.7500 0.5274
12 Si 0.9598 0.2500 0.2638
13 Ni 0.0210 0.7500 0.1397
14 Ni 0.0683 0.2500 0.5141
15 Ni 0.1852 0.7500 0.6731
16 Ni 0.2087 0.7500 0.2801
17 Ni 0.2913 0.2500 0.7801
18 Ni 0.3148 0.2500 0.1731
19 Ni 0.4317 0.7500 0.0141
20 Ni 0.4790 0.2500 0.6397
21 Ni 0.5210 0.7500 0.3603
22 Ni 0.5683 0.2500 0.9859
23 Ni 0.6852 0.7500 0.8269
24 Ni 0.7087 0.7500 0.2199
25 Ni 0.7913 0.2500 0.7199
26 Ni 0.8148 0.2500 0.3269
27 Ni 0.9317 0.7500 0.4859
28 Ni 0.9790 0.2500 0.8603

Output
- space group = No. 62
- crystal system = orthorhombic
- N(E_F) (states/eV/cell) = 16.35

***

It is 1 that is the most stable of them.

***

1:
Density functional theory data (PBE) for a relaxed structure of PmSiNi2.

Unit cell a=4.4653 b=4.4653 c=4.4653 alpha=60.00 beta=60.00 gamma=60.00
Fractional positions:
1 Pm 0.0000 0.0000 0.0000
2 Si 0.5000 0.5000 0.5000
3 Ni 0.2500 0.2500 0.2500
4 Ni 0.7500 0.7500 0.7500

Output
- space group = No. 225
- crystal system = cubic
- N(E_F) (states/eV/cell) = 4.71

***

2:
Density functional theory data (PBE) for a relaxed structure of PmSiNi2.

Unit cell a=4.0132 b=4.0132 c=9.6777 alpha=90.00 beta=90.00 gamma=120.00
Fractional positions:
1 Pm 0.3333 0.6667 0.2500
2 Pm 0.6667 0.3333 0.7500
3 Si 0.0000 0.0000 0.0000
4 Si 0.0000 0.0000 0.5000
5 Ni 0.3333 0.6667 0.5485
6 Ni 0.3333 0.6667 0.9515
7 Ni 0.6667 0.3333 0.0485
8 Ni 0.6667 0.3333 0.4515

Output
- space group = No. 194
- crystal system = hexagonal
- N(E_F) (states/eV/cell) = 5.82

***

3:
Density functional theory data (PBE) for a relaxed structure of PmSiNi2.

Unit cell a=3.9960 b=6.3690 c=5.3136 alpha=90.00 beta=90.00 gamma=90.00
Fractional positions:
1 Pm 0.2500 0.2500 0.1320
2 Pm 0.7500 0.7500 0.8680
3 Si 0.2500 0.7500 0.3778
4 Si 0.7500 0.2500 0.6222
5 Ni 0.2500 0.0534 0.6293
6 Ni 0.2500 0.4466 0.6293
7 Ni 0.7500 0.5534 0.3707
8 Ni 0.7500 0.9466 0.3707

Output
- space group = No. 59
- crystal system = orthorhombic
- N(E_F) (states/eV/cell) = 8.20

***

It is 2 that is the most stable of them.

***

1:
Density functional theory data (PBE) for a relaxed structure of PmSi4Ni2.

Unit cell a=7.4918 b=7.4918 c=3.7853 alpha=90.00 beta=90.00 gamma=90.00
Fractional positions:
1 Pm 0.0000 0.0000 0.0000
2 Pm 0.5000 0.5000 0.5000
3 Si 0.0823 0.3201 0.5000
4 Si 0.1799 0.5823 0.0000
5 Si 0.3201 0.0823 0.5000
6 Si 0.4177 0.8201 0.0000
7 Si 0.5823 0.1799 0.0000
8 Si 0.6799 0.9177 0.5000
9 Si 0.8201 0.4177 0.0000
10 Si 0.9177 0.6799 0.5000
11 Ni 0.2153 0.7847 0.5000
12 Ni 0.2847 0.2847 0.0000
13 Ni 0.7153 0.7153 0.0000
14 Ni 0.7847 0.2153 0.5000

Output
- space group = No. 136
- crystal system = tetragonal
- N(E_F) (states/eV/cell) = 6.37

***

2:
Density functional theory data (PBE) for a relaxed structure of PmSi4Ni2.

Unit cell a=16.3698 b=4.0191 c=6.4553 alpha=90.00 beta=90.00 gamma=90.00
Fractional positions:
1 Pm 0.1130 0.2500 0.0014
2 Pm 0.3870 0.7500 0.5014
3 Pm 0.6130 0.2500 0.4986
4 Pm 0.8870 0.7500 0.9986
5 Si 0.0357 0.7500 0.7235
6 Si 0.0898 0.2500 0.4985
7 Si 0.1871 0.7500 0.3400
8 Si 0.2053 0.7500 0.7310
9 Si 0.2947 0.2500 0.2310
10 Si 0.3129 0.2500 0.8400
11 Si 0.4102 0.7500 0.9985
12 Si 0.4643 0.2500 0.2235
13 Si 0.5357 0.7500 0.7765
14 Si 0.5898 0.2500 0.0015
15 Si 0.6871 0.7500 0.1600
16 Si 0.7053 0.7500 0.7690
17 Si 0.7947 0.2500 0.2690
18 Si 0.8129 0.2500 0.6600
19 Si 0.9102 0.7500 0.5015
20 Si 0.9643 0.2500 0.2765
21 Ni 0.0414 0.7500 0.3351
22 Ni 0.2268 0.2500 0.5515
23 Ni 0.2732 0.7500 0.0515
24 Ni 0.4586 0.2500 0.8351
25 Ni 0.5414 0.7500 0.1649
26 Ni 0.7268 0.2500 0.9485
27 Ni 0.7732 0.7500 0.4485
28 Ni 0.9586 0.2500 0.6649

Output
- space group = No. 62
- crystal system = orthorhombic
- N(E_F) (states/eV/cell) = 11.12

***

It is 2 that is the most stable of them.

***

1:
Density functional theory data (PBE) for a relaxed structure of Pm3SiNi3.

Unit cell a=5.7071 b=5.7071 c=14.3536 alpha=107.89 beta=107.89 gamma=40.75
Fractional positions:
1 Pm 0.0224 0.0224 0.3850
2 Pm 0.1025 0.1025 0.9229
3 Pm 0.2418 0.2418 0.2275
4 Pm 0.7582 0.7582 0.7725
5 Pm 0.8975 0.8975 0.0771
6 Pm 0.9776 0.9776 0.6150
7 Si 0.2596 0.2596 0.6126
8 Si 0.7404 0.7404 0.3874
9 Ni 0.3121 0.3121 0.4663
10 Ni 0.3984 0.3984 0.9245
11 Ni 0.4537 0.4537 0.7637
12 Ni 0.5463 0.5463 0.2363
13 Ni 0.6016 0.6016 0.0755
14 Ni 0.6879 0.6879 0.5337

Output
- space group = No. 12
- crystal system = monoclinic
- N(E_F) (states/eV/cell) = 11.96

***

2:
Density functional theory data (PBE) for a relaxed structure of Pm3SiNi3.

Unit cell a=8.2985 b=8.2985 c=5.5583 alpha=90.00 beta=90.00 gamma=120.00
Fractional positions:
1 Pm 0.0608 0.6965 0.2500
2 Pm 0.3035 0.3643 0.2500
3 Pm 0.3643 0.0608 0.7500
4 Pm 0.6357 0.9392 0.2500
5 Pm 0.6965 0.6357 0.7500
6 Pm 0.9392 0.3035 0.7500
7 Si 0.3333 0.6667 0.7500
8 Si 0.6667 0.3333 0.2500
9 Ni 0.0737 0.6887 0.7500
10 Ni 0.3113 0.3850 0.7500
11 Ni 0.3850 0.0737 0.2500
12 Ni 0.6150 0.9263 0.7500
13 Ni 0.6887 0.6150 0.2500
14 Ni 0.9263 0.3113 0.2500

Output
- space group = No. 176
- crystal system = hexagonal
- N(E_F) (states/eV/cell) = 11.92

***

It is 1 that is the most stable of them.

***

1:
Density functional theory data (PBE) for a relaxed structure of PmSi3Ni2.

Unit cell a=6.1595 b=6.1595 c=5.0038 alpha=90.00 beta=90.00 gamma=73.94
Fractional positions:
1 Pm 0.1661 0.8339 0.7500
2 Pm 0.8339 0.1661 0.2500
3 Si 0.0239 0.5939 0.2500
4 Si 0.4061 0.9761 0.2500
5 Si 0.4242 0.5758 0.2500
6 Si 0.5758 0.4242 0.7500
7 Si 0.5939 0.0239 0.7500
8 Si 0.9761 0.4061 0.7500
9 Ni 0.3042 0.3042 0.0000
10 Ni 0.3042 0.3042 0.5000
11 Ni 0.6958 0.6958 0.0000
12 Ni 0.6958 0.6958 0.5000

Output
- space group = No. 63
- crystal system = orthorhombic
- N(E_F) (states/eV/cell) = 9.43

***

2:
Density functional theory data (PBE) for a relaxed structure of PmSi3Ni2.

Unit cell a=12.2881 b=12.2881 c=12.2881 alpha=161.35 beta=161.35 gamma=26.50
Fractional positions:
1 Pm 0.1501 0.1501 0.0000
2 Pm 0.8499 0.8499 0.0000
3 Si 0.0495 0.5495 0.5000
4 Si 0.3022 0.3022 0.0000
5 Si 0.4505 0.9505 0.5000
6 Si 0.5495 0.0495 0.5000
7 Si 0.6978 0.6978 0.0000
8 Si 0.9505 0.4505 0.5000
9 Ni 0.2500 0.7500 0.5000
10 Ni 0.4029 0.4029 0.0000
11 Ni 0.5971 0.5971 0.0000
12 Ni 0.7500 0.2500 0.5000

Output
- space group = No. 139
- crystal system = tetragonal
- N(E_F) (states/eV/cell) = 7.85

***

It is 2 that is the most stable of them.